Entry 1:
TiNbP | PBE | relaxed

The space group is P4_2/m (No. 84) and the conventional cell measures 8.121, 8.121 and 3.353 Å, with angles of 90.00, 90.00 and 90.00 degrees. The asymmetric unit holds Ti at (0.037, 0.652, 0.000), Nb at (0.290, 0.453, 0.500) and P at (0.226, 0.763, 0.500).

The calculation puts the calculated total energy at -8.383 eV/atom. As for the formation energy: -0.5912 eV per atom. Its magnetization is 0.5 μB/f.u. The calculation puts the calculated density at 5.2 g cm⁻³.

Entry 2:
Ti6NbP4 | PBE | relaxed

The space group is I-42m (No. 121) and the conventional cell measures 6.432, 6.432 and 8.896 Å, with angles of 90.00, 90.00 and 90.00 degrees. The asymmetric unit holds Ti at (0.000, 0.500, 0.000), Ti at (0.145, 0.145, 0.170), Nb at (0.000, 0.000, 0.500) and P at (0.227, 0.227, 0.907).

The calculation puts the calculated total energy at -7.934 eV/atom. As for the formation energy: -0.7448 eV per atom. Its magnetization is 0.0 μB/f.u. The calculation puts the calculated density at 4.5 g cm⁻³.

Entry 3:
NbTlP2 | PBE | relaxed

The space group is I-42d (No. 122) and the conventional cell measures 6.359, 6.359 and 11.256 Å, with angles of 90.00, 90.00 and 90.00 degrees. The asymmetric unit holds Nb at (0.000, 0.000, 0.000), Tl at (0.000, 0.000, 0.500) and P at (0.173, 0.250, 0.125).

The calculation puts the calculated total energy at -5.771 eV/atom. As for the formation energy: 0.0426 eV per atom. Its magnetization is 0.0 μB/f.u. The excess energy over the best structure of this formula in the dataset is 0.000 eV per atom. The calculation puts the calculated density at 5.2 g cm⁻³.

Entry 4:
Nb3TlP | PBE | relaxed

The space group is Pm-3m (No. 221) and the conventional cell measures 5.091, 5.091 and 5.091 Å, with angles of 90.00, 90.00 and 90.00 degrees. The asymmetric unit holds Nb at (0.000, 0.000, 0.500), Tl at (0.000, 0.000, 0.000) and P at (0.500, 0.500, 0.500).

The calculation puts the calculated total energy at -5.347 eV/atom. As for the formation energy: 2.2503 eV per atom. Its magnetization is 0.0 μB/f.u. The excess energy over the best structure of this formula in the dataset is 2.022 eV per atom. The calculation puts the calculated density at 6.5 g cm⁻³.

Question: Which value of magnetization does entry 4 give?
Answer: 0.0 μB/f.u.